1.
# YCoSnRu

Crystalline YCoSnRu at its relaxed geometry (PBE, the Alexandria database).

abc: 6.5276 6.5276 6.5276
angles: 90.00 90.00 90.00
Closest atoms and distances in Å follow each position.
Space group F-43m (No. 216)
Unique sites:
Y 0.0000 0.0000 0.0000 [4 per cell]  4 Co 2.83, 4 Ru 2.83
Co 0.2500 0.2500 0.7500 [4 per cell]  4 Sn 2.83, 4 Y 2.83
Sn 0.0000 0.0000 0.5000 [4 per cell]  4 Co 2.83, 4 Ru 2.83
Ru 0.2500 0.2500 0.2500 [4 per cell]  4 Sn 2.83, 4 Y 2.83

Computed properties:
Magnetization in μB/atom: 0.000
Crystal system: cubic
Formation energy in eV per atom: -0.289
Calculated volume in Å³/f.u.: 69.54
Uncorrected energy in eV/atom: -7.001
DOS(E_F) in states/eV/cell: 3.71

***

2.
# SrCo2Ru

Crystalline SrCo2Ru at its relaxed geometry (PBE, the Alexandria database).

abc: 3.1028 3.1028 7.1782
angles: 90.00 90.00 90.00
Closest atoms and distances in Å follow each position.
Space group P4mm (No. 99)
Unique sites:
Sr 0.0000 0.0000 0.0000 [1 per cell]  4 Sr 3.10, 4 Ru 3.20, 5 Co 3.26-3.47
Co 0.0000 0.0000 0.4830 [1 per cell]  4 Co 2.43, 4 Ru 2.59
Co 0.5000 0.5000 0.3360 [1 per cell]  4 Co 2.43, 1 Ru 2.44
Ru 0.5000 0.5000 0.6753 [1 per cell]  5 Co 2.44-2.59

Computed properties:
Magnetization in μB/atom: 1.074
Crystal system: tetragonal
E above lowest polymorph in meV per atom: 319
Formation energy in eV per atom: 0.535
Calculated volume in Å³/f.u.: 69.11
Uncorrected energy in eV/atom: -5.758
DOS(E_F) in states/eV/cell: 4.70